First-principles (PBE-GGA) data for an optimized crystal structure of Cr2NiAs, as listed in Alexandria.

abc: 3.1361 3.1361 5.2958
angles: 90.00 90.00 90.00
Last column: nearest neighbours and their distance in Å.
Space group P4/mmm (No. 123)
Asymmetric unit:
Cr 0.0000 0.0000 0.2490 [2 per cell]  4 Ni 2.58, 4 As 2.59, 2 Cr 2.64-2.66
Ni 0.5000 0.5000 0.0000 [1 per cell]  8 Cr 2.58, 2 As 2.65
As 0.5000 0.5000 0.5000 [1 per cell]  8 Cr 2.59, 2 Ni 2.65

Properties
**Fermi-level density of states**: 5.9 states/eV per cell
**Calculated volume**: 13.0 A^3/atom
**Energy**: -7.226 eV/atom

---

First-principles (PBE-GGA) data for an optimized crystal structure of Pm2Pd8Pb, as listed in Alexandria.

abc: 4.8269 6.0515 14.6036
angles: 90.00 90.00 90.00
Last column: nearest neighbours and their distance in Å.
Space group Immm (No. 71)
Asymmetric unit:
Pm 0.0000 0.0000 0.1849 [4 per cell]  12 Pd 2.87-3.12
Pd 0.0000 0.2481 0.0000 [4 per cell]  2 Pb 2.85, 4 Pd 3.00-3.05, 2 Pm 3.09
Pd 0.0000 0.2621 0.3557 [8 per cell]  1 Pb 2.64, 2 Pm 2.87, 4 Pd 2.88-2.94
Pd 0.0000 0.5000 0.1799 [4 per cell]  8 Pd 2.93-3.04, 4 Pm 3.03-3.12
Pb 0.0000 0.0000 0.5000 [2 per cell]  8 Pd 2.64-2.85

Properties
**Fermi-level density of states**: 7.8 states/eV per cell
**Calculated volume**: 19.4 A^3/atom
**Energy**: -5.469 eV/atom

---

First-principles (PBE-GGA) data for an optimized crystal structure of AlSeS2Cl, as listed in Alexandria.

abc: 4.7338 4.7338 4.4468
angles: 90.00 90.00 90.00
Last column: nearest neighbours and their distance in Å.
Space group P4/mmm (No. 123)
Asymmetric unit:
Al 0.0000 0.0000 0.0000 [1 per cell]  2 Cl 2.22, 4 S 2.37
Se 0.5000 0.5000 0.5000 [1 per cell]  8 S 3.25, 4 Cl 3.35
S 0.0000 0.5000 0.0000 [2 per cell]  2 Al 2.37
Cl 0.0000 0.0000 0.5000 [1 per cell]  2 Al 2.22

Properties
**Fermi-level density of states**: 3.7 states/eV per cell
**Calculated volume**: 19.9 A^3/atom
**Energy**: -3.454 eV/atom
**Offset from the most stable computed form**: 0 meV per atom
**Formation energy from raw total energies**: 12 meV per atom

---

> Among the records above, which one has the highest calculated volume?

AlSeS2Cl

---

> Look up the calculated volume of the third one.

19.9 A^3/atom

---

> Which value of Fermi-level density of states does entry 2 give?

7.8 states/eV per cell